This record from the Alexandria database describes crystalline KMgTlBr4 at its relaxed geometry. The functional is PBE.

abc: 7.7367 7.6015 9.1615
angles: 90.00 108.15 90.00
Fractional coordinates of all 14 atoms:
K  0.7795  0.7500  0.4407
K  0.2205  0.2500  0.5593
Mg  0.2385  0.7500  0.3012
Mg  0.7615  0.2500  0.6988
Tl  0.7416  0.7500  0.9367
Tl  0.2584  0.2500  0.0633
Br  0.9856  0.5013  0.7542
Br  0.0144  0.0013  0.2458
Br  0.0144  0.4987  0.2458
Br  0.9856  0.9987  0.7542
Br  0.4266  0.7500  0.1246
Br  0.5734  0.2500  0.8754
Br  0.4245  0.7500  0.5791
Br  0.5755  0.2500  0.4209

Summary:
Energy ... -42.6 eV per cell
Magnetization ... 0.0000 μB/atom
N(E_F) ... 0.00 states/eV/f.u.
Space-group type ... No. 11
E_form (uncorrected) ... -1367 meV per atom
Crystal system ... monoclinic